{
  "formula": "Sr5Li6Ca",
  "functional": "PBE",
  "state": "relaxed",
  "magmom_total_mub_per_fu": 0.00,
  "n_ef_per_ev_atom": 0.9084,
  "delta_e_f_ev_per_atom": 0.03,
  "crystal_system": "monoclinic",
  "lattice": [[5.702, -0.020, -1.608], [-4.291, 8.286, -4.310], [-0.231, -1.219, 10.203]],
  "species": ["Sr", "Sr", "Sr", "Sr", "Sr", "Ca", "Li", "Li", "Li", "Li", "Li", "Li"],
  "frac_coords": [[0.500, 0.168, 0.832], [0.000, 0.334, 0.666], [0.500, 0.500, 0.500], [0.000, 0.666, 0.334], [0.500, 0.832, 0.168], [0.000, 0.000, 0.000], [0.243, 0.080, 0.406], [0.757, 0.594, 0.920], [0.737, 0.237, 0.237], [0.263, 0.763, 0.763], [0.243, 0.406, 0.080], [0.757, 0.920, 0.594]]
}